# 1
Density functional theory data (PBE) for a relaxed Co4CuAs crystal.

## Properties
Formation energy = 0.326 eV/atom

Cell: 6.7277 6.7277 6.7277 Å, 90.00 90.00 90.00°
Space group F-43m (No. 216)
One atom of each set of equivalent atoms:
Co (0.1246, 0.1246, 0.1246) (multiplicity 16)
Cu (0.2500, 0.2500, 0.7500) (multiplicity 4)
As (0.0000, 0.0000, 0.5000) (multiplicity 4)



# 2
Density functional theory data (PBE) for a relaxed Li2AsPd6 crystal.

## Properties
Excess energy over the best structure of this formula in the dataset = 17 meV/atom
Formation energy = -0.274 eV/atom

Cell: 7.4455 7.4455 2.8055 Å, 90.00 90.00 120.00°
Space group P-31m (No. 162)
One atom of each set of equivalent atoms:
Li (0.3333, 0.6667, 0.0000) (multiplicity 2)
As (0.0000, 0.0000, 0.5000) (multiplicity 1)
Pd (0.0000, 0.3350, 0.7361) (multiplicity 6)